(1)
{
  "formula": "Pm6Te3P2N",
  "functional": "PBE",
  "state": "relaxed",
  "raw_formation_energy_kcal_per_mol_atoms": -34.02,
  "rho_g_cm3": 6.95,
  "sg": "C2/m",
  "magnetic_moment_mub_per_cell": 0.0,
  "n_ef_per_ev_atom": 0.4457,
  "total_energy_ev_per_atom": -6.232,
  "cell": [[7.1260, 0.0076, 0.0006], [-3.5547, 6.1761, 0.0006], [-1.1906, -2.0615, 7.2123]],
  "species": ["Pm", "Te", "Pm", "Te", "Pm", "Te", "Pm", "P", "N", "Pm", "Pm", "P"],
  "fractional_positions": [[0.6226, 0.9333, 0.7997], [0.1740, 0.8260, 0.5000], [0.7558, 0.7558, 0.2077], [0.5000, 0.5000, 0.5000], [0.9333, 0.6226, 0.7997], [0.8260, 0.1740, 0.5000], [0.2442, 0.2442, 0.7923], [0.3342, 0.6658, 0.0000], [0.0000, 0.0000, 0.0000], [0.3774, 0.0667, 0.2003], [0.0667, 0.3774, 0.2003], [0.6658, 0.3342, 0.0000]]
}

(2)
{
  "formula": "NpTeI",
  "functional": "PBE",
  "state": "relaxed",
  "raw_formation_energy_kcal_per_mol_atoms": -7.47,
  "rho_g_cm3": 8.60,
  "sg": "P3m1",
  "magnetic_moment_mub_per_cell": 4.0,
  "n_ef_per_ev_atom": 2.3311,
  "total_energy_ev_per_atom": -6.202,
  "cell": [[-1.7022, -3.3566, -1.2943], [2.9190, 0.1995, -4.3562], [1.7784, -2.5354, 4.2363]],
  "species": ["I", "Te", "Np"],
  "fractional_positions": [[0.1605, 0.3333, 0.6667], [0.6650, 0.6667, 0.3333], [0.1746, 0.0000, 0.0000]]
}

(3)
{
  "formula": "TiPAu3",
  "functional": "PBE",
  "state": "relaxed",
  "rho_g_cm3": 9.14,
  "sg": "Pm-3m",
  "magnetic_moment_mub_per_cell": 1.5,
  "n_ef_per_ev_atom": 1.0270,
  "total_energy_ev_per_atom": -3.525,
  "cell": [[4.9549, 0.0000, 0.0000], [0.0000, 4.9549, 0.0000], [0.0000, 0.0000, 4.9549]],
  "species": ["Ti", "Au", "Au", "P", "Au"],
  "fractional_positions": [[0.0000, 0.0000, 0.0000], [0.0000, 0.5000, 0.0000], [0.0000, 0.0000, 0.5000], [0.5000, 0.5000, 0.5000], [0.5000, 0.0000, 0.0000]]
}

(4)
{
  "formula": "Ta2TiW",
  "functional": "PBE",
  "state": "relaxed",
  "rho_g_cm3": 14.23,
  "sg": "Pmma",
  "magnetic_moment_mub_per_cell": 0.0,
  "n_ef_per_ev_atom": 1.4258,
  "total_energy_ev_per_atom": -11.138,
  "cell": [[4.6042, 0.0000, 0.0000], [0.0000, 6.5791, 0.0002], [0.0000, -0.0002, 9.1440]],
  "species": ["W", "Ti", "Ta", "W", "Ta", "Ta", "Ti", "Ta", "W", "W", "Ta", "Ta", "Ta", "Ti", "Ti", "Ta"],
  "fractional_positions": [[0.7500, 0.6175, 0.7500], [0.2499, 0.8688, 0.7500], [0.7500, 0.8685, 0.5000], [0.2500, 0.3825, 0.7500], [0.2500, 0.1315, 0.0000], [0.7500, 0.3780, 0.5000], [0.7501, 0.1312, 0.2500], [0.2500, 0.1315, 0.5000], [0.7500, 0.6175, 0.2500], [0.2500, 0.3825, 0.2500], [0.7500, 0.8685, 0.0000], [0.7500, 0.3780, 0.0000], [0.2500, 0.6220, 0.0000], [0.2501, 0.8688, 0.2500], [0.7499, 0.1312, 0.7500], [0.2500, 0.6220, 0.5000]]
}

(5)
{
  "formula": "YZrSe2",
  "functional": "PBE",
  "state": "relaxed",
  "raw_formation_energy_kcal_per_mol_atoms": -33.58,
  "rho_g_cm3": 6.27,
  "sg": "Imm2",
  "magnetic_moment_mub_per_cell": 0.7,
  "n_ef_per_ev_atom": 0.7645,
  "total_energy_ev_per_atom": -6.952,
  "cell": [[-2.1364, 0.3979, -6.6789], [-6.1739, 0.2772, -3.3370], [4.2026, 2.2797, 5.1450]],
  "species": ["Se", "Y", "Zr", "Se"],
  "fractional_positions": [[0.0485, 0.0485, 0.0000], [0.4590, 0.4590, 0.0000], [0.2053, 0.7053, 0.5000], [0.7872, 0.2872, 0.5000]]
}

(6)
{
  "formula": "Pm5Pd2Au",
  "functional": "PBE",
  "state": "relaxed",
  "rho_g_cm3": 8.80,
  "sg": "I4/mcm",
  "magnetic_moment_mub_per_cell": 0.0,
  "n_ef_per_ev_atom": 0.9898,
  "total_energy_ev_per_atom": -5.275,
  "cell": [[-7.6031, 2.6555, 0.1590], [-1.4599, -3.7627, -6.9710], [2.7102, -4.8587, 6.7089]],
  "species": ["Au", "Pm", "Pm", "Pd", "Pm", "Pd", "Pm", "Pd", "Pm", "Pm", "Pm", "Pm", "Au", "Pm", "Pm", "Pd"],
  "fractional_positions": [[0.7500, 0.7500, 0.5000], [0.1943, 0.0192, 0.7136], [0.5192, 0.6943, 0.7136], [0.1287, 0.3713, 0.0000], [0.8057, 0.9808, 0.2864], [0.6287, 0.1287, 0.0000], [0.6943, 0.1943, 0.7136], [0.3713, 0.8713, 0.0000], [0.4808, 0.3057, 0.2864], [0.3057, 0.8057, 0.2864], [0.0000, 0.0000, 0.0000], [0.9808, 0.4808, 0.2864], [0.2500, 0.2500, 0.5000], [0.5000, 0.5000, 0.0000], [0.0192, 0.5192, 0.7136], [0.8713, 0.6287, 0.0000]]
}

(7)
{
  "formula": "HoTmTlGa",
  "functional": "PBE",
  "state": "relaxed",
  "rho_g_cm3": 10.29,
  "sg": "P4mm",
  "magnetic_moment_mub_per_cell": 0.0,
  "n_ef_per_ev_atom": 0.3698,
  "total_energy_ev_per_atom": -4.049,
  "cell": [[3.5392, 0.0000, 0.0000], [0.0000, 3.5392, 0.0000], [0.0000, 0.0000, 7.8297]],
  "species": ["Ho", "Tm", "Ga", "Tl"],
  "fractional_positions": [[0.0000, 0.0000, 0.8373], [0.0000, 0.0000, 0.3764], [0.5000, 0.5000, 0.6048], [0.5000, 0.5000, 0.1095]]
}

(8)
{
  "formula": "Nd3SnAu",
  "functional": "PBE",
  "state": "relaxed",
  "rho_g_cm3": 8.13,
  "sg": "P-1",
  "magnetic_moment_mub_per_cell": 0.0,
  "n_ef_per_ev_atom": 1.3265,
  "total_energy_ev_per_atom": -4.892,
  "cell": [[4.5496, 0.0022, 0.0011], [-2.2705, 7.5604, 0.3098], [0.0016, 0.0210, 8.8919]],
  "species": ["Nd", "Nd", "Nd", "Nd", "Au", "Sn", "Nd", "Nd", "Au", "Sn"],
  "fractional_positions": [[0.6250, 0.2808, 0.7777], [0.4189, 0.8732, 0.6438], [0.2643, 0.5618, 0.0229], [0.7796, 0.5923, 0.3987], [0.8193, 0.6729, 0.7937], [0.6189, 0.2712, 0.1447], [0.9724, 0.9776, 0.0127], [0.0716, 0.1764, 0.4088], [0.2246, 0.4811, 0.6279], [0.4252, 0.8831, 0.2767]]
}

(9)
{
  "formula": "BaMg2Pt2",
  "functional": "PBE",
  "state": "relaxed",
  "rho_g_cm3": 9.22,
  "sg": "P4/mbm",
  "magnetic_moment_mub_per_cell": 0.0,
  "n_ef_per_ev_atom": 0.4083,
  "total_energy_ev_per_atom": -4.035,
  "cell": [[-5.9131, 4.0090, 4.0685], [2.0724, -3.9511, 6.9054], [1.9875, 2.2375, 0.6838]],
  "species": ["Pt", "Ba", "Ba", "Mg", "Pt", "Mg", "Mg", "Pt", "Pt", "Mg"],
  "fractional_positions": [[0.6679, 0.8321, 0.5000], [0.0000, 0.0000, 0.0000], [0.5000, 0.5000, 0.0000], [0.1222, 0.3778, 0.0000], [0.3321, 0.1679, 0.5000], [0.3778, 0.8778, 0.0000], [0.8778, 0.6222, 0.0000], [0.1679, 0.6679, 0.5000], [0.8321, 0.3321, 0.5000], [0.6222, 0.1222, 0.0000]]
}

(10)
{
  "formula": "CSeBr3",
  "functional": "PBE",
  "state": "relaxed",
  "raw_formation_energy_kcal_per_mol_atoms": 35.06,
  "rho_g_cm3": 3.68,
  "sg": "Pm-3m",
  "magnetic_moment_mub_per_cell": 1.9,
  "n_ef_per_ev_atom": 1.6591,
  "total_energy_ev_per_atom": -2.025,
  "cell": [[-3.0249, 1.1736, 4.1931], [0.6894, -4.9122, 1.8721], [4.2994, 1.6134, 2.6500]],
  "species": ["C", "Se", "Br", "Br", "Br"],
  "fractional_positions": [[0.5000, 0.5000, 0.5000], [0.0000, 0.0000, 0.0000], [0.5000, 0.0000, 0.0000], [0.0000, 0.5000, 0.0000], [0.0000, 0.0000, 0.5000]]
}

(11)
{
  "formula": "Sc3HCSe",
  "functional": "PBE",
  "state": "relaxed",
  "rho_g_cm3": 4.06,
  "sg": "P2_1/m",
  "magnetic_moment_mub_per_cell": 0.0,
  "n_ef_per_ev_atom": 0.5006,
  "total_energy_ev_per_atom": -6.794,
  "cell": [[3.4593, 0.0000, 0.0000], [0.0000, 7.3311, 0.0664], [0.0000, -1.8657, 7.2923]],
  "species": ["Sc", "Sc", "H", "Sc", "Sc", "Se", "H", "Sc", "C", "C", "Sc", "Se"],
  "fractional_positions": [[0.2500, 0.5458, 0.8439], [0.2500, 0.1336, 0.8591], [0.2500, 0.0785, 0.5815], [0.7500, 0.8664, 0.1409], [0.7500, 0.2228, 0.5348], [0.7500, 0.8215, 0.7713], [0.7500, 0.9215, 0.4185], [0.7500, 0.4542, 0.1561], [0.2500, 0.6671, 0.1592], [0.7500, 0.3329, 0.8408], [0.2500, 0.7772, 0.4652], [0.2500, 0.1785, 0.2287]]
}

(12)
{
  "formula": "HoTlHg",
  "functional": "PBE",
  "state": "relaxed",
  "rho_g_cm3": 9.91,
  "sg": "P2/m",
  "magnetic_moment_mub_per_cell": 0.0,
  "n_ef_per_ev_atom": 0.5924,
  "total_energy_ev_per_atom": -2.566,
  "cell": [[6.2469, 0.4858, 1.2373], [4.1503, 3.2463, 0.2636], [-1.0229, 0.9301, 4.8356]],
  "species": ["Tl", "Hg", "Ho"],
  "fractional_positions": [[0.0000, 0.5000, 0.0000], [0.0000, 0.0000, 0.5000], [0.5000, 0.5000, 0.0000]]
}